No. 1
Entry from the Alexandria database: a relaxed CaY2IrI crystal (PBE).

Results
Symmetry: P4/mmm
Size of the total moment: 0.00 Bohr magnetons per cell
E_form (uncorrected): 185 kJ/mol of formula units

Lattice parameters (Å, degrees): 5.622 5.054 5.622 90.00 90.00 90.00
Fractional positions:
I1 0.000 0.000 0.000
Y1 0.000 0.000 0.500
Y2 0.500 0.000 0.000
Ca1 0.500 0.500 0.500
Ir1 0.000 0.500 0.000

No. 2
Entry from the Alexandria database: a relaxed Sc3Hg2 crystal (PBE).

Results
Symmetry: R-3m
Size of the total moment: 1.03 Bohr magnetons per cell
ΔE_f: -0.219 eV per atom

Lattice parameters (Å, degrees): 11.935 11.935 11.935 16.43 16.43 16.43
Fractional positions:
Sc1 0.000 0.000 0.000
Sc2 0.797 0.797 0.797
Sc3 0.203 0.203 0.203
Hg1 0.602 0.602 0.602
Hg2 0.398 0.398 0.398

No. 3
Entry from the Alexandria database: a relaxed Ba2NaPtI crystal (PBE).

Results
Symmetry: P4/mmm
Size of the total moment: 0.00 Bohr magnetons per cell
E_form (uncorrected): -336 kJ/mol of formula units

Lattice parameters (Å, degrees): 6.132 6.132 5.591 90.00 90.00 90.00
Fractional positions:
I1 0.500 0.500 0.500
Na1 0.000 0.000 0.500
Ba1 0.000 0.500 0.000
Ba2 0.500 0.000 0.000
Pt1 0.000 0.000 0.000

| no. | electronic total energy (eV/atom) |
| --- | --- |
| 1 | -4.69 |
| 2 | -4.14 |
| 3 | -3.25 |